Record 1
Compound: HBr3Cl
Source: Alexandria via LeMat-Bulk
Functional: meta-GGA SCAN
Structure: PBEsol geometry

Calculated values
Calculated total energy, eV per atom: -13.095

abc: 5.185 5.185 5.185
angles: 90.00 90.00 90.00
Site moments in Bohr magnetons follow the coordinates.
Element x y z (fractional)
H 0.500 0.500 0.500  0.36
Cl 0.000 0.000 0.000  -0.03
Br 0.500 0.000 0.000  -0.03
Br 0.000 0.500 0.000  -0.03
Br 0.000 0.000 0.500  -0.03

***

Record 2
Compound: HoInPt
Source: Alexandria via LeMat-Bulk
Functional: meta-GGA SCAN
Structure: PBEsol geometry

Calculated values
Formation enthalpy at 0 K, meV per atom: -1210.2

abc: 3.840 7.499 7.499
angles: 120.00 90.00 90.00
Element x y z (fractional)
Pt 0.000 0.333 0.667
Pt 0.000 0.667 0.333
Pt 0.500 0.000 0.000
Ho 0.500 0.000 0.593
Ho 0.500 0.593 0.000
Ho 0.500 0.407 0.407
In 0.000 0.260 0.000
In 0.000 0.740 0.740
In 0.000 0.000 0.260

***

Record 3
Compound: LiNiRh2
Source: Alexandria via LeMat-Bulk
Functional: meta-GGA SCAN
Structure: PBEsol geometry

Calculated values
Formation enthalpy at 0 K, meV per atom: -28.3

abc: 3.203 3.850 3.850
angles: 90.00 90.00 90.00
Element x y z (fractional)
Rh 0.000 0.500 0.000
Rh 0.000 0.000 0.500
Ni 0.500 0.000 0.000
Li 0.500 0.500 0.500

***

Record 4
Compound: Li2TaTc
Source: Alexandria via LeMat-Bulk
Functional: meta-GGA SCAN
Structure: PBEsol geometry

Calculated values
Formation enthalpy at 0 K, meV per atom: 650.1

abc: 4.191 4.191 4.191
angles: 60.00 60.00 60.00
Element x y z (fractional)
Ta 0.000 0.000 0.000
Tc 0.500 0.500 0.500
Li 0.250 0.250 0.250
Li 0.750 0.750 0.750

***

Record 5
Compound: KAlZn2
Source: Alexandria via LeMat-Bulk
Functional: meta-GGA SCAN
Structure: PBEsol geometry

Calculated values
Formation enthalpy at 0 K, meV per atom: 179.6

abc: 3.213 3.213 8.218
angles: 90.00 90.00 90.00
Element x y z (fractional)
Al 0.000 0.000 0.427
K 0.500 0.500 0.759
Zn 0.500 0.500 0.239
Zn 0.000 0.000 0.074

***

Record 6
Compound: OsSe2BrN
Source: Alexandria via LeMat-Bulk
Functional: meta-GGA SCAN
Structure: PBEsol geometry

Calculated values
Formation energy (no corrections), eV per atom: 1.82

abc: 4.322 4.235 4.235
angles: 90.00 90.00 90.00
Element x y z (fractional)
Br 0.500 0.000 0.000
N 0.000 0.000 0.000
Se 0.000 0.000 0.500
Se 0.000 0.500 0.000
Os 0.500 0.500 0.500

***

Record 7
Compound: SrAl2Ni
Source: Alexandria via LeMat-Bulk
Functional: meta-GGA SCAN
Structure: PBEsol geometry

Calculated values
Formation enthalpy at 0 K, meV per atom: -151.2

abc: 3.200 3.227 7.358
angles: 90.00 90.00 90.00
Element x y z (fractional)
Al 0.500 0.500 0.294
Al 0.000 0.000 0.065
Ni 0.000 0.000 0.414
Sr 0.500 0.500 0.728

***

Record 8
Compound: ZrSnS2Cl
Source: Alexandria via LeMat-Bulk
Functional: meta-GGA SCAN
Structure: PBEsol geometry

Calculated values
Formation energy (no corrections), eV per atom: 0.00

abc: 4.910 4.953 4.953
angles: 90.00 90.00 90.00
Site moments in Bohr magnetons follow the coordinates.
Element x y z (fractional)
Sn 0.000 0.000 0.000  0.01
S 0.000 0.000 0.500  -0.03
S 0.000 0.500 0.000  -0.03
Zr 0.500 0.500 0.500  1.50
Cl 0.500 0.000 0.000  0.04

***

Record 9
Compound: TlZnCo
Source: Alexandria via LeMat-Bulk
Functional: meta-GGA SCAN
Structure: PBEsol geometry

Calculated values
Formation enthalpy at 0 K, meV per atom: 534.3

abc: 4.182 4.182 4.182
angles: 60.00 60.00 60.00
Element x y z (fractional)
Tl 0.000 0.000 0.000
Co 0.750 0.750 0.750
Zn 0.500 0.500 0.500

***

Record 10
Compound: NiMoOs2
Source: Alexandria via LeMat-Bulk
Functional: meta-GGA SCAN
Structure: PBEsol geometry

Calculated values
Formation enthalpy at 0 K, meV per atom: 226.5

abc: 2.688 2.688 8.827
angles: 81.24 81.24 60.00
Element x y z (fractional)
Os 0.998 0.998 0.006
Os 0.748 0.748 0.755
Ni 0.251 0.251 0.247
Mo 0.503 0.503 0.492

***

Record 11
Compound: Li3Au
Source: Alexandria via LeMat-Bulk
Functional: meta-GGA SCAN
Structure: PBEsol geometry

Calculated values
Formation enthalpy at 0 K, meV per atom: -471.1

abc: 4.405 5.308 5.308
angles: 94.80 90.00 90.00
Element x y z (fractional)
Li 0.250 0.913 0.913
Li 0.750 0.187 0.577
Li 0.250 0.813 0.423
Li 0.750 0.577 0.187
Li 0.750 0.087 0.087
Li 0.250 0.423 0.813
Au 0.250 0.298 0.298
Au 0.750 0.702 0.702

***

Record 12
Compound: MgO
Source: Alexandria via LeMat-Bulk
Functional: meta-GGA SCAN
Structure: PBEsol geometry

Calculated values
Formation energy (no corrections), eV per atom: -2.91

abc: 4.175 6.140 8.121
angles: 112.21 104.90 90.00
Element x y z (fractional)
O 0.429 0.259 0.859
O 0.071 0.400 0.141
O 0.929 0.600 0.859
O 0.190 0.025 0.380
O 0.571 0.741 0.141
O 0.810 0.975 0.620
O 0.310 0.645 0.620
O 0.690 0.355 0.380
Mg 0.190 0.354 0.380
Mg 0.310 0.974 0.620
Mg 0.810 0.646 0.620
Mg 0.429 0.596 0.859
Mg 0.071 0.737 0.141
Mg 0.929 0.263 0.859
Mg 0.571 0.404 0.141
Mg 0.690 0.026 0.380

***

Per-record DOS(E_F), states/eV per atom: 1.543 0.729 0.807 0.472 0.424 0.591 0.617 0.164 0.648 0.939 0.275 0.000
Per-record magnetization, μB/f.u.: 0.77 0.00 0.00 0.00 0.00 0.00 0.00 2.03 0.00 0.00 0.00 0.00